Entry 1:
A relaxed structure of TbGa8Ni2, computed with PBE.

Space-group type: P4/mmm (123)
Total moment: 0.00 μB per formula unit
Total energy: -3.7340 eV/atom

Cell lengths 5.634, 5.634, 7.497 Å; angles 90.00, 90.00, 90.00 degrees
Positions (direct):
Tb  0.000  0.000  0.000
Ga  0.254  0.254  0.306
Ga  0.254  0.254  0.694
Ga  0.254  0.746  0.306
Ga  0.254  0.746  0.694
Ga  0.746  0.254  0.306
Ga  0.746  0.254  0.694
Ga  0.746  0.746  0.306
Ga  0.746  0.746  0.694
Ni  0.000  0.500  0.500
Ni  0.500  0.000  0.500

***

Entry 2:
A relaxed structure of Rb2CaSi2, computed with PBE.

Space-group type: P4/mbm (127)
Uncorrected formation energy: 0.1575 eV/atom
Total moment: 0.61 μB per formula unit
Total energy: -2.7991 eV/atom

Cell lengths 7.912, 7.912, 5.887 Å; angles 90.00, 90.00, 90.00 degrees
Positions (direct):
Rb  0.182  0.318  0.000
Rb  0.318  0.818  0.000
Rb  0.682  0.182  0.000
Rb  0.818  0.682  0.000
Ca  0.000  0.000  0.500
Ca  0.500  0.500  0.500
Si  0.100  0.600  0.500
Si  0.400  0.100  0.500
Si  0.600  0.900  0.500
Si  0.900  0.400  0.500

***

Entry 3:
A relaxed structure of Cu4Hg, computed with PBE.

Space-group type: Pm-3m (221)
Total moment: 0.00 μB per formula unit
Total energy: -2.1858 eV/atom
Offset from the most stable computed form: 97.4 kJ/mol of atoms

Cell lengths 4.806, 4.806, 4.806 Å; angles 90.00, 90.00, 90.00 degrees
Positions (direct):
Cu  0.000  0.000  0.000
Cu  0.000  0.500  0.500
Cu  0.500  0.000  0.500
Cu  0.500  0.500  0.000
Hg  0.500  0.500  0.500

***

Entry 4:
A relaxed structure of PrHoEr4, computed with PBE.

Space-group type: C2/c (15)
Total moment: 0.00 μB per formula unit
Total energy: -4.4583 eV/atom
Offset from the most stable computed form: 11.8 kJ/mol of atoms

Cell lengths 8.540, 8.540, 6.392 Å; angles 99.79, 99.79, 117.94 degrees
Positions (direct):
Pr  0.084  0.916  0.750
Pr  0.916  0.084  0.250
Ho  0.499  0.501  0.250
Ho  0.501  0.499  0.750
Er  0.074  0.340  0.881
Er  0.211  0.601  0.467
Er  0.340  0.074  0.381
Er  0.399  0.789  0.033
Er  0.601  0.211  0.967
Er  0.660  0.926  0.619
Er  0.789  0.399  0.533
Er  0.926  0.660  0.119

***

Entry 5:
A relaxed structure of BaTm2NpO8, computed with PBE.

Space-group type: P2/m (10)
Uncorrected formation energy: -2.8756 eV/atom
Total moment: 0.94 μB per formula unit
Total energy: -8.1650 eV/atom

Cell lengths 5.100, 7.417, 5.109 Å; angles 90.00, 90.54, 90.00 degrees
Positions (direct):
Ba  0.000  0.000  0.000
Tm  0.500  0.265  0.500
Tm  0.500  0.735  0.500
Np  0.000  0.500  0.000
O  0.190  0.304  0.192
O  0.190  0.696  0.192
O  0.292  0.500  0.710
O  0.352  0.000  0.652
O  0.648  0.000  0.348
O  0.708  0.500  0.290
O  0.810  0.304  0.808
O  0.810  0.696  0.808

***

Entry 6:
A relaxed structure of Dy2Er6Sc5, computed with PBE.

Space-group type: Pbam (55)
Total moment: 0.00 μB per formula unit
Total energy: -5.1334 eV/atom

Cell lengths 11.298, 19.211, 3.455 Å; angles 90.00, 90.00, 90.00 degrees
Positions (direct):
Dy  0.153  0.215  0.000
Dy  0.347  0.715  0.000
Dy  0.653  0.285  0.000
Dy  0.847  0.785  0.000
Er  0.057  0.920  0.000
Er  0.089  0.634  0.000
Er  0.172  0.376  0.500
Er  0.328  0.876  0.500
Er  0.411  0.134  0.000
Er  0.443  0.420  0.000
Er  0.557  0.580  0.000
Er  0.589  0.866  0.000
Er  0.672  0.124  0.500
Er  0.828  0.624  0.500
Er  0.911  0.366  0.000
Er  0.943  0.080  0.000
Sc  0.000  0.500  0.500
Sc  0.105  0.777  0.500
Sc  0.198  0.051  0.500
Sc  0.302  0.551  0.500
Sc  0.395  0.277  0.500
Sc  0.500  0.000  0.500
Sc  0.605  0.723  0.500
Sc  0.698  0.449  0.500
Sc  0.802  0.949  0.500
Sc  0.895  0.223  0.500

***

Entry 7:
A relaxed structure of InIr2Pt, computed with PBE.

Space-group type: I-42d (122)
Total moment: 0.00 μB per formula unit
Total energy: -6.2965 eV/atom

Cell lengths 9.776, 9.776, 9.776 Å; angles 156.82, 156.82, 33.02 degrees
Positions (direct):
In  0.000  0.000  0.000
In  0.750  0.250  0.500
Ir  0.173  0.625  0.048
Ir  0.375  0.423  0.548
Ir  0.577  0.125  0.952
Ir  0.875  0.827  0.452
Pt  0.250  0.750  0.500
Pt  0.500  0.500  0.000

***

Entry 8:
A relaxed structure of TaVSi4, computed with PBE.

Space-group type: P2 (3)
Uncorrected formation energy: -0.4613 eV/atom
Total moment: 0.00 μB per formula unit
Total energy: -7.5718 eV/atom
Offset from the most stable computed form: 0.0 kJ/mol of atoms

Cell lengths 4.681, 12.985, 4.701 Å; angles 90.00, 119.61, 90.00 degrees
Positions (direct):
Ta  0.000  0.000  0.000
Ta  0.000  0.497  0.000
Ta  0.500  0.663  0.000
V  0.000  0.330  0.500
V  0.000  0.833  0.500
V  0.500  0.163  0.000
Si  0.177  0.668  0.344
Si  0.179  0.168  0.347
Si  0.335  0.493  0.655
Si  0.336  0.999  0.662
Si  0.343  0.832  0.183
Si  0.344  0.327  0.175
Si  0.656  0.327  0.825
Si  0.657  0.832  0.817
Si  0.664  0.999  0.338
Si  0.665  0.493  0.345
Si  0.821  0.168  0.653
Si  0.823  0.668  0.656

***

Entry 9:
A relaxed structure of CsCdIO2, computed with PBE.

Space-group type: P4/mmm (123)
Uncorrected formation energy: -0.2868 eV/atom
Total moment: 2.00 μB per formula unit
Total energy: -2.9339 eV/atom

Cell lengths 4.879, 4.879, 5.909 Å; angles 90.00, 90.00, 90.00 degrees
Positions (direct):
Cs  0.000  0.000  0.000
Cd  0.500  0.500  0.500
I  0.500  0.500  0.000
O  0.000  0.500  0.500
O  0.500  0.000  0.500

***

Entry 10:
A relaxed structure of SrAc2Ce3N6, computed with PBE.

Space-group type: C2/m (12)
Uncorrected formation energy: -1.2394 eV/atom
Total moment: 0.01 μB per formula unit
Total energy: -7.7104 eV/atom

Cell lengths 8.286, 8.286, 7.443 Å; angles 103.64, 103.64, 25.72 degrees
Positions (direct):
Sr  0.000  0.000  0.000
Ac  0.334  0.334  0.669
Ac  0.666  0.666  0.331
Ce  0.000  0.000  0.500
Ce  0.335  0.335  0.165
Ce  0.665  0.665  0.835
N  0.159  0.159  0.604
N  0.176  0.176  0.065
N  0.492  0.492  0.275
N  0.508  0.508  0.725
N  0.824  0.824  0.935
N  0.841  0.841  0.396

***

Entry 11:
A relaxed structure of ThVB4, computed with PBE.

Space-group type: Pbam (55)
Total moment: 0.11 μB per formula unit
Total energy: -7.8802 eV/atom

Cell lengths 6.079, 11.774, 3.671 Å; angles 90.00, 90.00, 90.00 degrees
Positions (direct):
Th  0.123  0.151  0.000
Th  0.377  0.651  0.000
Th  0.623  0.349  0.000
Th  0.877  0.849  0.000
V  0.123  0.419  0.000
V  0.377  0.919  0.000
V  0.623  0.081  0.000
V  0.877  0.581  0.000
B  0.025  0.689  0.500
B  0.111  0.545  0.500
B  0.141  0.967  0.500
B  0.222  0.817  0.500
B  0.278  0.317  0.500
B  0.359  0.467  0.500
B  0.389  0.045  0.500
B  0.475  0.189  0.500
B  0.525  0.811  0.500
B  0.611  0.955  0.500
B  0.641  0.533  0.500
B  0.722  0.683  0.500
B  0.778  0.183  0.500
B  0.859  0.033  0.500
B  0.889  0.455  0.500
B  0.975  0.311  0.500

***

Entry 12:
A relaxed structure of YHg2P2, computed with PBE.

Space-group type: P4/mbm (127)
Total moment: 0.00 μB per formula unit
Total energy: -3.6838 eV/atom
Offset from the most stable computed form: 22.5 kJ/mol of atoms

Cell lengths 7.472, 7.472, 3.887 Å; angles 90.00, 90.00, 90.00 degrees
Positions (direct):
Y  0.000  0.000  0.000
Y  0.500  0.500  0.000
Hg  0.146  0.354  0.500
Hg  0.354  0.854  0.500
Hg  0.646  0.146  0.500
Hg  0.854  0.646  0.500
P  0.163  0.663  0.000
P  0.337  0.163  0.000
P  0.663  0.837  0.000
P  0.837  0.337  0.000

***

Entry 13:
A relaxed structure of Er5Th4Sc, computed with PBE.

Space-group type: Pmmn (59)
Total moment: 0.00 μB per formula unit
Total energy: -5.6242 eV/atom
Offset from the most stable computed form: 8.9 kJ/mol of atoms

Cell lengths 10.275, 11.203, 5.595 Å; angles 90.00, 90.00, 90.00 degrees
Positions (direct):
Er  0.053  0.054  0.250
Er  0.053  0.446  0.250
Er  0.250  0.750  0.750
Er  0.447  0.054  0.250
Er  0.447  0.446  0.250
Er  0.553  0.554  0.750
Er  0.553  0.946  0.750
Er  0.750  0.250  0.250
Er  0.947  0.554  0.750
Er  0.947  0.946  0.750
Th  0.026  0.750  0.250
Th  0.250  0.074  0.749
Th  0.250  0.426  0.749
Th  0.474  0.750  0.250
Th  0.526  0.250  0.750
Th  0.750  0.574  0.251
Th  0.750  0.926  0.251
Th  0.974  0.250  0.750
Sc  0.250  0.250  0.248
Sc  0.750  0.750  0.752

***

Entry 14:
A relaxed structure of TaPBr2, computed with PBE.

Space-group type: Cmm2 (35)
Uncorrected formation energy: -0.0365 eV/atom
Total moment: 0.00 μB per formula unit
Total energy: -5.1885 eV/atom
Offset from the most stable computed form: 37.0 kJ/mol of atoms

Cell lengths 3.152, 3.152, 9.940 Å; angles 90.00, 90.00, 90.15 degrees
Positions (direct):
Ta  0.000  0.000  0.000
P  0.500  0.500  0.873
Br  0.000  0.000  0.530
Br  0.500  0.500  0.189

***

Entry 15:
A relaxed structure of SbTe2Os, computed with PBE.

Space-group type: Cmmm (65)
Uncorrected formation energy: 0.1989 eV/atom
Total moment: 0.00 μB per formula unit
Total energy: -5.2100 eV/atom

Cell lengths 5.494, 5.494, 4.020 Å; angles 90.00, 90.00, 122.01 degrees
Positions (direct):
Sb  0.000  0.000  0.000
Te  0.317  0.683  0.500
Te  0.683  0.317  0.500
Os  0.500  0.500  0.000

***

Entry 16:
A relaxed structure of AlSnGeRu2, computed with PBE.

Space-group type: P4/mmm (123)
Total moment: 0.00 μB per formula unit
Total energy: -5.4495 eV/atom

Cell lengths 4.654, 4.654, 4.541 Å; angles 90.00, 90.00, 90.00 degrees
Positions (direct):
Al  0.000  0.000  0.000
Sn  0.500  0.500  0.000
Ge  0.000  0.000  0.500
Ru  0.000  0.500  0.500
Ru  0.500  0.000  0.500

***

Entry 17:
A relaxed structure of Ac3Si2SnPd9, computed with PBE.

Space-group type: P-3m1 (164)
Uncorrected formation energy: -0.7041 eV/atom
Total moment: 0.00 μB per formula unit
Total energy: -5.6315 eV/atom

Cell lengths 6.521, 6.521, 9.158 Å; angles 90.00, 90.00, 120.00 degrees
Positions (direct):
Ac  0.000  0.000  0.000
Ac  0.333  0.667  0.676
Ac  0.667  0.333  0.324
Si  0.333  0.667  0.166
Si  0.667  0.333  0.834
Sn  0.000  0.000  0.500
Pd  0.000  0.500  0.000
Pd  0.150  0.300  0.277
Pd  0.150  0.850  0.277
Pd  0.300  0.150  0.723
Pd  0.500  0.000  0.000
Pd  0.500  0.500  0.000
Pd  0.700  0.850  0.277
Pd  0.850  0.150  0.723
Pd  0.850  0.700  0.723

***

Entry 18:
A relaxed structure of Li2Sn4I9, computed with PBE.

Space-group type: P-1 (2)
Uncorrected formation energy: -0.5841 eV/atom
Total moment: 0.00 μB per formula unit
Total energy: -2.8368 eV/atom

Cell lengths 7.836, 8.039, 21.815 Å; angles 87.14, 87.81, 63.05 degrees
Positions (direct):
Li  0.044  0.067  0.173
Li  0.050  0.920  0.677
Li  0.950  0.080  0.323
Li  0.956  0.933  0.827
Sn  0.333  0.336  0.493
Sn  0.333  0.414  0.151
Sn  0.345  0.277  0.685
Sn  0.388  0.314  0.002
Sn  0.612  0.686  0.998
Sn  0.655  0.723  0.315
Sn  0.667  0.586  0.849
Sn  0.667  0.664  0.507
I  0.021  0.225  0.748
I  0.026  0.357  0.085
I  0.041  0.611  0.588
I  0.226  0.786  0.085
I  0.298  0.631  0.759
I  0.299  0.069  0.261
I  0.319  0.002  0.584
I  0.344  0.684  0.422
I  0.374  0.005  0.919
I  0.626  0.995  0.081
I  0.656  0.316  0.578
I  0.681  0.998  0.416
I  0.701  0.931  0.739
I  0.702  0.369  0.241
I  0.774  0.214  0.915
I  0.959  0.389  0.412
I  0.974  0.643  0.915
I  0.979  0.775  0.252

***

Entry 19:
A relaxed structure of HoPuTl2, computed with PBE.

Space-group type: P4/mmm (123)
Total moment: 6.13 μB per formula unit
Total energy: -6.0772 eV/atom
Offset from the most stable computed form: 0.0 kJ/mol of atoms

Cell lengths 3.396, 3.396, 9.329 Å; angles 90.00, 90.00, 90.00 degrees
Positions (direct):
Ho  0.000  0.000  0.000
Pu  0.000  0.000  0.500
Tl  0.500  0.500  0.245
Tl  0.500  0.500  0.755

***

Entry 20:
A relaxed structure of KCu2Br4, computed with PBE.

Space-group type: P-1 (2)
Uncorrected formation energy: -0.6736 eV/atom
Total moment: 1.03 μB per formula unit
Total energy: -2.9566 eV/atom
Offset from the most stable computed form: 0.2 kJ/mol of atoms

Cell lengths 7.239, 7.240, 10.005 Å; angles 105.20, 105.26, 105.66 degrees
Positions (direct):
K  0.125  0.376  0.250
K  0.875  0.624  0.750
Cu  0.000  0.000  0.500
Cu  0.500  0.000  0.000
Cu  0.500  0.000  0.500
Cu  0.500  0.500  0.000
Br  0.191  0.774  0.533
Br  0.241  0.158  0.967
Br  0.274  0.690  0.033
Br  0.342  0.258  0.533
Br  0.658  0.742  0.467
Br  0.726  0.310  0.967
Br  0.759  0.842  0.033
Br  0.809  0.226  0.467